Density functional theory data (PBE) for an optimized crystal structure of PrTl2Hg4.

total energy: -1.612 eV per atom
energy of formation: -7.75 kJ/mol of atoms

POSCAR file:
```
PrTl2Hg4
1.0
4.392 0.000 0.000
2.196 3.803 0.000
2.196 1.268 13.116
Pr Tl Hg
1 2 4
direct
0.000 0.000 0.000
0.806 0.806 0.582
0.194 0.194 0.418
0.715 0.715 0.854
0.909 0.909 0.273
0.285 0.285 0.146
0.091 0.091 0.727
```

Density functional theory data (PBE) for an optimized crystal structure of Pr6TlHg8.

total energy: -2.560 eV per atom
energy of formation: -31.77 kJ/mol of atoms

POSCAR file:
```
Pr6TlHg8
1.0
7.609 -0.009 3.358
2.185 7.289 3.358
-0.012 -0.009 8.317
Pr Tl Hg
6 1 8
direct
0.128 0.387 0.687
0.313 0.872 0.613
0.613 0.313 0.872
0.387 0.687 0.128
0.687 0.128 0.387
0.872 0.613 0.313
0.000 0.000 0.000
0.182 0.549 0.942
0.058 0.818 0.451
0.451 0.058 0.818
0.703 0.703 0.703
0.297 0.297 0.297
0.549 0.942 0.182
0.942 0.182 0.549
0.818 0.451 0.058
```

Density functional theory data (PBE) for an optimized crystal structure of Pr3Tl2Hg.

total energy: -3.646 eV per atom
energy of formation: -40.30 kJ/mol of atoms

POSCAR file:
```
Pr3Tl2Hg
1.0
-2.832 1.075 2.365
-0.597 -3.674 0.955
8.019 1.067 9.118
Pr Tl Hg
3 2 1
direct
0.000 0.000 0.000
0.000 0.000 0.660
0.000 0.000 0.340
0.500 0.500 0.828
0.500 0.500 0.172
0.500 0.500 0.500
```

Density functional theory data (PBE) for an optimized crystal structure of PrTl3Hg12.

total energy: -1.075 eV per atom
energy of formation: -10.26 kJ/mol of atoms

POSCAR file:
```
PrTl3Hg12
1.0
4.686 0.000 0.000
0.000 4.686 0.000
0.000 0.000 20.625
Pr Tl Hg
1 3 12
direct
0.000 0.000 0.000
0.000 0.000 0.242
0.000 0.000 0.500
0.000 0.000 0.758
0.500 0.500 0.000
0.500 0.500 0.242
0.500 0.500 0.500
0.500 0.500 0.758
0.500 0.000 0.117
0.500 0.000 0.369
0.500 0.000 0.631
0.500 0.000 0.883
0.000 0.500 0.117
0.000 0.500 0.369
0.000 0.500 0.631
0.000 0.500 0.883
```

Density functional theory data (PBE) for an optimized crystal structure of Pr3Tl3Hg2.

total energy: -3.118 eV per atom
energy of formation: -34.98 kJ/mol of atoms

POSCAR file:
```
Pr3Tl3Hg2
1.0
-2.688 -2.472 -1.094
5.653 -4.016 -4.817
-1.119 -2.338 8.036
Pr Tl Hg
3 3 2
direct
0.500 0.383 0.383
0.500 0.617 0.000
0.500 0.000 0.617
0.000 0.760 0.760
0.000 0.240 0.000
0.000 0.000 0.240
0.000 0.333 0.667
0.000 0.667 0.333
```

Density functional theory data (PBE) for an optimized crystal structure of Pr7Tl3Hg.

total energy: -3.899 eV per atom
energy of formation: -17.85 kJ/mol of atoms

POSCAR file:
```
Pr7Tl3Hg
1.0
-3.771 -2.786 -3.727
6.042 -5.183 2.591
-3.212 0.489 7.715
Pr Tl Hg
7 3 1
direct
0.183 0.182 0.182
0.328 0.057 0.598
0.672 0.402 0.943
0.328 0.598 0.057
0.000 0.500 0.500
0.672 0.943 0.402
0.817 0.818 0.818
0.000 0.767 0.233
0.500 0.000 0.000
0.000 0.233 0.767
0.500 0.500 0.500
```